# ZnMoAu2 (GGA-PBE, relaxed)
data_ZnMoAu2
_cell_length_a 4.183
_cell_length_b 4.183
_cell_length_c 7.652
_cell_angle_alpha 90.00
_cell_angle_beta 90.00
_cell_angle_gamma 90.00
_symmetry_space_group_name_H-M 'I -4 m 2'
_symmetry_Int_Tables_number 119
_symmetry_space_group_name_Hall 'I -4 -2'
loop_
_atom_site_label
_atom_site_fract_x
_atom_site_fract_y
_atom_site_fract_z
_atom_site_occupancy
Zn1 0.000 0.000 0.000 1
Mo1 0.000 0.500 0.250 1
Au1 0.000 0.000 0.500 1
Au2 0.000 0.500 0.750 1
# Total magnetic moment, μB/cell: 3.40
# Formation enthalpy at 0 K, meV/atom: 271.6